TaCo2Cu2: optimized geometry, PBE.

Output
* formation enthalpy at 0 K: 0.94 eV per formula unit
* SG: No. 127
* E above lowest polymorph: 0.00 eV per formula unit

a b c (Å): 6.662 6.662 2.846
angles (deg): 90.00 90.00 90.00
Site moments in Bohr magnetons follow the coordinates.
Positions (direct):
Co: 0.371 0.871 0.000  0.31
Co: 0.871 0.629 0.000  0.29
Co: 0.629 0.129 0.000  0.31
Co: 0.129 0.371 0.000  0.29
Cu: 0.166 0.666 0.500  0.02
Cu: 0.666 0.834 0.500  0.02
Cu: 0.834 0.334 0.500  0.02
Cu: 0.334 0.166 0.500  0.02
Ta: 0.000 0.000 0.000  -0.07
Ta: 0.500 0.500 0.000  -0.07


ZnGa2P: optimized geometry, PBE.

Output
* formation enthalpy at 0 K: 0.28 eV per formula unit
* SG: No. 122
* E above lowest polymorph: 0.00 eV per formula unit

a b c (Å): 6.040 6.040 6.555
angles (deg): 62.56 62.56 90.00
Positions (direct):
P: 0.500 0.500 0.000
P: 0.250 0.750 0.500
Zn: 0.000 0.000 0.000
Zn: 0.750 0.250 0.500
Ga: 0.604 0.125 0.250
Ga: 0.146 0.625 0.250
Ga: 0.375 0.396 0.750
Ga: 0.875 0.854 0.750


Ce3HfO7: optimized geometry, PBE.

Output
* energy relative to the elements, uncorrected: -3.4924 eV/atom
* SG: No. 63

a b c (Å): 6.661 6.661 7.715
angles (deg): 90.00 90.00 109.53
Site moments in Bohr magnetons follow the coordinates.
Positions (direct):
Ce: 0.500 0.500 0.500  0.78
Ce: 0.500 0.500 0.000  0.78
Ce: 0.530 0.001 0.250  0.60
Ce: 0.470 0.999 0.750  0.60
Ce: 0.001 0.530 0.750  0.60
Ce: 0.999 0.470 0.250  0.60
Hf: 0.000 0.000 0.500  0.01
Hf: 0.000 0.000 0.000  0.01
O: 0.669 0.919 0.531  -0.01
O: 0.331 0.081 0.031  -0.01
O: 0.919 0.669 0.469  -0.01
O: 0.081 0.331 0.969  -0.01
O: 0.081 0.331 0.531  -0.01
O: 0.919 0.669 0.031  -0.01
O: 0.331 0.081 0.469  -0.01
O: 0.669 0.919 0.969  -0.01
O: 0.371 0.629 0.250  -0.02
O: 0.629 0.371 0.750  -0.02
O: 0.636 0.364 0.250  -0.02
O: 0.364 0.636 0.750  -0.02
O: 0.927 0.073 0.250  -0.01
O: 0.073 0.927 0.750  -0.01


Ca2BH6: optimized geometry, PBE.

Output
* SG: No. 14
* E above lowest polymorph: 0.00 eV per formula unit

a b c (Å): 4.281 6.549 6.586
angles (deg): 90.00 90.44 90.00
Positions (direct):
Ca: 0.984 0.329 0.762
Ca: 0.516 0.829 0.738
Ca: 0.484 0.171 0.262
Ca: 0.016 0.671 0.238
B: 0.500 0.500 0.000
B: 0.000 0.000 0.500
H: 0.923 0.995 0.291
H: 0.902 0.796 0.532
H: 0.796 0.599 0.934
H: 0.704 0.099 0.566
H: 0.598 0.296 0.968
H: 0.577 0.495 0.209
H: 0.077 0.005 0.709
H: 0.098 0.204 0.468
H: 0.204 0.401 0.066
H: 0.296 0.901 0.434
H: 0.402 0.704 0.032
H: 0.423 0.505 0.791


PmMg7Sn4: optimized geometry, PBE.

Output
* formation enthalpy at 0 K: 0.13 eV per formula unit
* SG: No. 12

a b c (Å): 5.743 9.102 6.956
angles (deg): 82.98 65.62 71.61
Positions (direct):
Pm: 0.000 0.000 0.000
Mg: 0.782 0.904 0.532
Mg: 0.218 0.096 0.468
Mg: 0.059 0.638 0.245
Mg: 0.941 0.362 0.755
Mg: 0.332 0.586 0.750
Mg: 0.500 0.000 0.000
Mg: 0.668 0.414 0.250
Sn: 0.563 0.228 0.646
Sn: 0.437 0.772 0.354
Sn: 0.720 0.683 0.876
Sn: 0.280 0.317 0.124


Ba4SBr2N: optimized geometry, PBE.

Output
* energy relative to the elements, uncorrected: -1.5029 eV/atom
* SG: No. 10

a b c (Å): 4.368 7.703 8.230
angles (deg): 107.53 90.00 90.00
Positions (direct):
Ba: 0.500 0.263 0.204
Ba: 0.500 0.737 0.796
Ba: 0.000 0.288 0.803
Ba: 0.000 0.712 0.197
S: 0.000 0.000 0.000
Br: 0.500 0.000 0.500
Br: 0.000 0.500 0.500
N: 0.500 0.500 0.000